This record from the Alexandria database describes SmY3Ho2 after structural relaxation. The functional is GGA-PBE.

Cell lengths 6.166, 7.134, 9.437 Å; angles 112.21, 89.86, 90.00 degrees
Positions (direct):
Ho1 0.583 0.542 0.334
Ho2 0.917 0.208 0.666
Y1 0.416 0.958 0.665
Sm1 0.250 0.875 0.000
Ho3 0.083 0.792 0.334
Sm2 0.750 0.125 0.000
Y2 0.084 0.293 0.335
Y3 0.750 0.624 0.000
Ho4 0.417 0.458 0.666
Y4 0.250 0.376 0.000
Y5 0.916 0.707 0.665
Y6 0.584 0.042 0.335

calculated density	6.45	g/cm3
E	-66.267	eV for the cell shown
energy of formation from the pure elements	0.022	eV/atom
SG	C2/c
polymorph energy (0 for the lowest one)	0.000	eV per atom